Entry 1:
First-principles (PBE) data for a relaxed CoPd crystal, as listed in Alexandria via LeMat-Bulk.

Cell: 2.692 2.692 12.845 Å, 90.00 90.00 120.00°
Element x y z (fractional)
Co (0.000, 0.000, 0.000)
Co (0.333, 0.667, 0.667)
Co (0.667, 0.333, 0.333)
Pd (0.000, 0.000, 0.500)
Pd (0.333, 0.667, 0.167)
Pd (0.667, 0.333, 0.833)

Results
Calculated volume (Å³/atom): 13.4
Energy of formation (eV/atom): 0.10

Entry 2:
First-principles (PBE) data for a relaxed Co8Pd crystal, as listed in Alexandria via LeMat-Bulk.

Cell: 5.665 5.665 5.665 Å, 95.69 95.69 143.28°
Element x y z (fractional)
Co (0.000, 0.340, 0.340)
Co (0.000, 0.660, 0.660)
Co (0.325, 0.325, 0.651)
Co (0.325, 0.675, 0.000)
Co (0.340, 0.000, 0.340)
Co (0.660, 0.000, 0.660)
Co (0.675, 0.325, 0.000)
Co (0.675, 0.675, 0.349)
Pd (0.000, 0.000, 0.000)

Results
Calculated volume (Å³/atom): 11.5
Energy of formation (eV/atom): 0.04

Entry 3:
First-principles (PBE) data for a relaxed CoPd4 crystal, as listed in Alexandria via LeMat-Bulk.

Cell: 4.515 4.515 4.515 Å, 90.00 90.00 90.00°
Element x y z (fractional)
Co (0.000, 0.000, 0.000)
Pd (0.000, 0.000, 0.500)
Pd (0.000, 0.500, 0.000)
Pd (0.500, 0.000, 0.000)
Pd (0.500, 0.500, 0.500)

Results
E above lowest polymorph (eV/atom): 0.830
Calculated volume (Å³/atom): 18.4
Energy of formation (eV/atom): 0.83